No. 1
# GGA-PBE LaTmAg2Pb2, optimized geometry
# Raw total energy, eV/f.u.: -25.1
# Space-group type: P3m1 (156)
data_LaTmAg2Pb2
_cell_length_a 4.8597
_cell_length_b 4.8597
_cell_length_c 7.6204
_cell_angle_alpha 90.00
_cell_angle_beta 90.00
_cell_angle_gamma 120.00
_symmetry_space_group_name_H-M 'P 1'
_symmetry_Int_Tables_number 1
loop_
_symmetry_equiv_pos_as_xyz
'x,y,z'
loop_
_atom_site_label
_atom_site_fract_x
_atom_site_fract_y
_atom_site_fract_z
La1 0.0000 0.0000 0.0000
Tm1 0.0000 0.0000 0.5034
Ag1 0.3333 0.6667 0.2170
Ag2 0.6667 0.3333 0.6801
Pb1 0.3333 0.6667 0.7751
Pb2 0.6667 0.3333 0.2885

No. 2
# GGA-PBE LaAg2Pd, optimized geometry
# Space-group type: P2_1/m (11)
# DFT formation energy, kJ/mol of formula units: -180.0
data_LaAg2Pd
_cell_length_a 4.4791
_cell_length_b 7.7439
_cell_length_c 5.5002
_cell_angle_alpha 90.00
_cell_angle_beta 113.94
_cell_angle_gamma 90.00
_symmetry_space_group_name_H-M 'P 1'
_symmetry_Int_Tables_number 1
loop_
_symmetry_equiv_pos_as_xyz
'x,y,z'
loop_
_atom_site_label
_atom_site_fract_x
_atom_site_fract_y
_atom_site_fract_z
La1 0.0736 0.2500 0.1479
La2 0.9264 0.7500 0.8521
Ag1 0.3656 0.0570 0.7294
Ag2 0.3656 0.4430 0.7294
Ag3 0.6344 0.5570 0.2706
Ag4 0.6344 0.9430 0.2706
Pd1 0.2141 0.7500 0.4309
Pd2 0.7859 0.2500 0.5691

Number 1: spin magnetization 0.00 μB per atom. Number 2: spin magnetization 0.00 μB per atom.